*one*
# ThZr4Tl5

A geometry-optimized ThZr4Tl5 structure (PBE, the Alexandria database).

Volume ... 240.1 Å³/cell

The structure in POSCAR format:
```
ThZr4Tl5
1.0
-2.5993 1.6579 -1.1395
-1.9705 -1.7228 1.9882
2.7417 15.2473 15.9299
Th Zr Tl
1 4 5
direct
0.0000 0.0000 0.0000 Th
0.0000 0.0000 0.2100 Zr
0.0000 0.0000 0.4032 Zr
0.0000 0.0000 0.5968 Zr
0.0000 0.0000 0.7900 Zr
0.5000 0.5000 0.1131 Tl
0.5000 0.5000 0.3066 Tl
0.5000 0.5000 0.5000 Tl
0.5000 0.5000 0.6934 Tl
0.5000 0.5000 0.8869 Tl
```



*two*
# ThZr4Tl5

A geometry-optimized ThZr4Tl5 structure (PBE, the Alexandria database).

Volume ... 525.9 Å³/cell

The structure in POSCAR format:
```
ThZr4Tl5
1.0
7.1734 0.0000 0.0000
0.0000 9.5365 0.0000
0.0000 0.0000 7.6880
Th Zr Tl
2 8 10
direct
0.5289 0.0000 0.0000 Th
0.4711 0.5000 0.5000 Th
0.9772 0.0000 0.6789 Zr
0.0072 0.8369 0.0000 Zr
0.0072 0.1631 0.0000 Zr
0.9772 0.0000 0.3211 Zr
0.0228 0.5000 0.1789 Zr
0.9928 0.6631 0.5000 Zr
0.9928 0.3369 0.5000 Zr
0.0228 0.5000 0.8211 Zr
0.2979 0.7763 0.7277 Tl
0.2979 0.2237 0.7277 Tl
0.4256 0.5000 0.0000 Tl
0.2979 0.7763 0.2723 Tl
0.2979 0.2237 0.2723 Tl
0.7021 0.7237 0.2277 Tl
0.7021 0.2763 0.2277 Tl
0.5744 0.0000 0.5000 Tl
0.7021 0.2763 0.7723 Tl
0.7021 0.7237 0.7723 Tl
```



Which structure is the most stable? The one labeled *one*.



*one*
# ThZrTl

A geometry-optimized ThZrTl structure (PBE, the Alexandria database).

Volume ... 81.1 Å³/cell

The structure in POSCAR format:
```
ThZrTl
1.0
-3.2653 0.4621 -0.4197
-0.5804 -1.4240 2.9475
2.4302 7.0304 2.0001
Tl Zr Th
1 1 1
direct
0.3250 0.3250 0.6501 Tl
0.6704 0.6704 0.3407 Zr
0.0046 0.0046 0.0092 Th
```



*two*
# ThZrTl

A geometry-optimized ThZrTl structure (PBE, the Alexandria database).

Volume ... 245.2 Å³/cell

The structure in POSCAR format:
```
ThZrTl
1.0
-1.0887 -3.0108 0.7025
-1.9289 -1.3984 -8.9830
8.3699 -2.2426 3.3593
Th Zr Tl
3 3 3
direct
0.5000 0.6667 0.3333 Th
0.5000 0.3333 0.6667 Th
0.0000 0.0000 0.0000 Th
0.5000 0.3043 0.0000 Zr
0.5000 0.0000 0.3043 Zr
0.5000 0.6957 0.6957 Zr
0.0000 0.6412 0.0000 Tl
0.0000 0.0000 0.6412 Tl
0.0000 0.3588 0.3588 Tl
```



*three*
# ThZrTl

A geometry-optimized ThZrTl structure (PBE, the Alexandria database).

Volume ... 82.1 Å³/cell

The structure in POSCAR format:
```
ThZrTl
1.0
3.3450 0.0000 0.0000
0.0000 5.3230 0.0000
0.0000 -2.6615 4.6098
Tl Zr Th
1 1 1
direct
0.1668 0.3333 0.6667 Tl
0.1666 0.0000 0.0000 Zr
0.6666 0.6667 0.3333 Th
```



*four*
# ThZrTl

A geometry-optimized ThZrTl structure (PBE, the Alexandria database).

Volume ... 166.1 Å³/cell

The structure in POSCAR format:
```
ThZrTl
1.0
3.4166 0.0005 0.3245
0.0002 5.3058 -0.0116
-0.5323 0.0200 9.1132
Th Zr Tl
2 2 2
direct
0.5053 0.2500 0.2509 Th
0.4947 0.7500 0.7491 Th
0.0817 0.2500 0.9368 Zr
0.9183 0.7500 0.0632 Zr
0.9772 0.2500 0.5977 Tl
0.0228 0.7500 0.4023 Tl
```



Which structure is the most stable? The one labeled *one*.



*one*
# TmTh

A geometry-optimized TmTh structure (PBE, the Alexandria database).

Volume ... 125.7 Å³/cell

The structure in POSCAR format:
```
TmTh
1.0
5.6095 -0.2137 -2.5326
-0.8251 6.6085 -2.3521
-2.2095 -2.1534 5.3305
Tm Th
2 2
direct
0.2497 0.8746 0.9992 Tm
0.7502 0.1254 0.0008 Tm
0.2495 0.3752 0.9999 Th
0.7504 0.6248 0.0001 Th
```



*two*
# TmTh

A geometry-optimized TmTh structure (PBE, the Alexandria database).

Volume ... 62.5 Å³/cell

The structure in POSCAR format:
```
TmTh
1.0
3.9687 0.0000 0.0000
0.0000 3.9687 0.0000
0.0000 0.0000 3.9687
Tm Th
1 1
direct
0.5000 0.5000 0.5000 Tm
0.0000 0.0000 0.0000 Th
```



Which structure is the most stable? The one labeled *one*.



*one*
# TmTh

A geometry-optimized TmTh structure (PBE, the Alexandria database).

Volume ... 125.5 Å³/cell

The structure in POSCAR format:
```
TmTh
1.0
4.9976 0.0000 0.0000
0.0000 3.5671 0.2986
0.0000 -0.5828 6.9890
Tm Th
2 2
direct
0.2500 0.2502 0.1284 Tm
0.7500 0.7498 0.8716 Tm
0.2500 0.2498 0.6191 Th
0.7500 0.7502 0.3809 Th
```



*two*
# TmTh

A geometry-optimized TmTh structure (PBE, the Alexandria database).

Volume ... 125.4 Å³/cell

The structure in POSCAR format:
```
TmTh
1.0
3.5320 0.0000 0.0000
0.0000 5.9681 1.4119
0.0000 0.6372 6.0996
Tm Th
2 2
direct
0.5000 0.7499 0.2501 Tm
0.5000 0.2501 0.7499 Tm
0.0000 0.2499 0.2499 Th
0.0000 0.7501 0.7501 Th
```



Which structure is the most stable? The one labeled *one*.



*one*
# Tm3Th

A geometry-optimized Tm3Th structure (PBE, the Alexandria database).

Volume ... 124.0 Å³/cell

The structure in POSCAR format:
```
Tm3Th
1.0
3.5780 0.0000 0.0000
0.0000 6.1582 0.0000
-1.7890 -3.0791 5.6268
Tm Th
3 1
direct
0.2479 0.5859 0.4959 Tm
0.5000 0.5044 0.0000 Tm
0.7521 0.0900 0.5041 Tm
0.0000 0.9864 0.0000 Th
```



*two*
# Tm3Th

A geometry-optimized Tm3Th structure (PBE, the Alexandria database).

Volume ... 122.6 Å³/cell

The structure in POSCAR format:
```
Tm3Th
1.0
-1.5509 4.6950 0.4791
-4.5018 -1.6231 1.3330
1.4164 -0.0180 4.7614
Tm Th
3 1
direct
0.0000 0.5000 0.5000 Tm
0.5000 0.0000 0.5000 Tm
0.5000 0.5000 0.0000 Tm
0.0000 0.0000 0.0000 Th
```



*three*
# Tm3Th

A geometry-optimized Tm3Th structure (PBE, the Alexandria database).

Volume ... 124.1 Å³/cell

The structure in POSCAR format:
```
Tm3Th
1.0
-1.0448 -2.1041 -5.0828
1.3287 -5.3150 -1.1572
-4.0440 -3.8138 -0.6742
Tm Th
3 1
direct
0.0000 0.0000 0.0000 Tm
0.7500 0.7500 0.7500 Tm
0.2500 0.2500 0.2500 Tm
0.5000 0.5000 0.5000 Th
```



Which structure is the most stable? The one labeled *one*.



*one*
# Tm2Th3

A geometry-optimized Tm2Th3 structure (PBE, the Alexandria database).

Volume ... 316.8 Å³/cell

The structure in POSCAR format:
```
Tm2Th3
1.0
-1.0387 0.2589 -3.3344
0.0843 -5.6459 -2.3036
-15.2230 -1.8949 2.7559
Tm Th
4 6
direct
0.3795 0.4570 0.9037 Tm
0.7401 0.5430 0.0963 Tm
0.0332 0.9570 0.5963 Tm
0.5865 0.0430 0.4037 Tm
0.5824 0.9273 0.8030 Th
0.3127 0.0727 0.1970 Th
0.1354 0.4273 0.6970 Th
0.2597 0.5727 0.3030 Th
0.9853 0.0000 0.0000 Th
0.7353 0.5000 0.5000 Th
```



*two*
# Tm2Th3

A geometry-optimized Tm2Th3 structure (PBE, the Alexandria database).

Volume ... 329.9 Å³/cell

The structure in POSCAR format:
```
Tm2Th3
1.0
8.7950 0.1780 0.0000
4.5420 4.6378 0.0000
2.2710 2.3189 8.2524
Tm Th
4 6
direct
0.0000 0.7946 0.4107 Tm
0.0000 0.2054 0.5893 Tm
0.5000 0.5000 0.5000 Tm
0.5000 0.0000 0.5000 Tm
0.2499 0.6270 0.0000 Th
0.7501 0.3730 0.0000 Th
0.2454 0.2472 0.8114 Th
0.7546 0.9413 0.8114 Th
0.2454 0.0587 0.1886 Th
0.7546 0.7528 0.1886 Th
```



Which structure is the most stable? The one labeled *one*.



*one*
# Tm4Th3

A geometry-optimized Tm4Th3 structure (PBE, the Alexandria database).

Volume ... 222.2 Å³/cell

The structure in POSCAR format:
```
Tm4Th3
1.0
3.4403 0.0000 0.0000
0.0000 8.5800 -0.3472
-1.7202 -4.2792 7.7025
Tm Th
4 3
direct
0.0803 0.4587 0.1607 Tm
0.9197 0.5413 0.8393 Tm
0.3645 0.1309 0.7290 Tm
0.6355 0.8691 0.2710 Tm
0.0000 0.0000 0.0000 Th
0.2189 0.2975 0.4378 Th
0.7811 0.7025 0.5622 Th
```



*two*
# Tm4Th3

A geometry-optimized Tm4Th3 structure (PBE, the Alexandria database).

Volume ... 218.1 Å³/cell

The structure in POSCAR format:
```
Tm4Th3
1.0
-2.6204 3.9876 3.7665
1.6514 -7.9216 4.7136
4.4433 1.4533 -1.7622
Tm Th
4 3
direct
0.8525 0.5713 0.7122 Tm
0.1475 0.4287 0.2878 Tm
0.7147 0.1426 0.4287 Tm
0.2853 0.8574 0.5713 Tm
0.0000 0.0000 0.0000 Th
0.5767 0.7150 0.1457 Th
0.4233 0.2850 0.8543 Th
```



Which structure is the most stable? The one labeled *two*.



*one*
# Y6Tm2Th

A geometry-optimized Y6Tm2Th structure (PBE, the Alexandria database).

Volume ... 286.3 Å³/cell

The structure in POSCAR format:
```
Y6Tm2Th
1.0
-0.3927 -2.0997 2.8419
-5.6400 1.0447 -2.2300
18.0631 -11.0142 -5.6410
Y Tm Th
6 2 1
direct
0.4444 0.8882 0.5548 Y
0.5557 0.1120 0.4452 Y
0.1143 0.2290 0.8900 Y
0.7766 0.5539 0.2208 Y
0.8856 0.7709 0.1100 Y
0.2234 0.4460 0.7792 Y
0.6706 0.3407 0.3356 Tm
0.3295 0.6594 0.6644 Tm
0.0000 0.9999 0.0000 Th
```



*two*
# Y6Tm2Th

A geometry-optimized Y6Tm2Th structure (PBE, the Alexandria database).

Volume ... 305.9 Å³/cell

The structure in POSCAR format:
```
Y6Tm2Th
1.0
-0.6179 7.3621 -0.0943
-5.6399 3.2787 3.4690
1.4511 3.9130 6.5295
Y Tm Th
6 2 1
direct
0.7792 0.2651 0.6907 Y
0.2649 0.7792 0.6907 Y
0.2651 0.2649 0.6907 Y
0.0447 0.6155 0.2952 Y
0.0445 0.0447 0.2952 Y
0.6155 0.0445 0.2952 Y
0.7546 0.7546 0.7362 Tm
0.5801 0.5801 0.2598 Tm
0.3170 0.3170 0.0492 Th
```



Which structure is the most stable? The one labeled *one*.